# RhSe (PBE-GGA, relaxed)
# DOS at the Fermi energy   2.382 states/eV/f.u.
# Total magnetic moment   0.00 μB/atom
# Calculated total energy   -10.92 eV per cell
# Uncorrected formation energy   -1.01 kcal/mol of atoms
data_RhSe
_chemical_formula_sum 'Rh1 Se1'
_cell_length_a 3.661
_cell_length_b 3.661
_cell_length_c 3.661
_cell_angle_alpha 60.00
_cell_angle_beta 60.00
_cell_angle_gamma 60.00
_symmetry_space_group_name_H-M 'P 1'
_symmetry_Int_Tables_number 1
loop_
_symmetry_equiv_pos_as_xyz
'x,y,z'
loop_
_atom_site_label
_atom_site_fract_x
_atom_site_fract_y
_atom_site_fract_z
Rh1 0.000 0.000 0.000
Se1 0.500 0.500 0.500